This record from Alexandria describes a relaxed structure of KNaHF. The functional is GGA-PBE. Values from VASP.

Geometry as Quantum ESPRESSO input:
```
&SYSTEM
  ibrav = 0, nat = 4, ntyp = 4
/
ATOMIC_SPECIES
K 39.10 K.upf
Na 22.99 Na.upf
H 1.01 H.upf
F 19.00 F.upf
CELL_PARAMETERS angstrom
-2.6107 1.1014 2.2611
-3.3547 0.5750 -1.2476
-3.4010 -5.1683 1.4965
ATOMIC_POSITIONS angstrom
K -6.1894 0.7685 1.1972
Na -4.9254 -2.7277 1.4537
H -2.6247 -2.0208 0.8597
F -7.2231 -3.4228 2.0452
```

Summary:
Energy above the lowest structure with this stoichiometry = 0.000 eV/atom
Size of the total moment = 0.00 μB per cell
Final energy = -3.34 eV/atom
Symmetry = R3m (160)


This record from Alexandria describes a relaxed structure of K3NaH2F6. The functional is GGA-PBE. Values from VASP.

Geometry as Quantum ESPRESSO input:
```
&SYSTEM
  ibrav = 0, nat = 12, ntyp = 4
/
ATOMIC_SPECIES
K 39.10 K.upf
Na 22.99 Na.upf
H 1.01 H.upf
F 19.00 F.upf
CELL_PARAMETERS angstrom
5.5669 0.0000 0.0000
-2.7834 4.8211 0.0000
0.0000 0.0000 6.6602
ATOMIC_POSITIONS angstrom
K 0.0000 3.2140 4.5058
K 2.7834 1.6070 2.1544
K 0.0000 0.0000 0.0000
Na 0.0000 0.0000 3.3301
H 2.7834 1.6070 4.7998
H 0.0000 3.2140 1.8604
F 1.1957 3.9044 1.9102
F 0.0000 1.8334 1.9102
F -1.1957 3.9044 1.9102
F 2.7834 2.9877 4.7500
F 1.5877 0.9167 4.7500
F 3.9792 0.9167 4.7500
```

Summary:
Size of the total moment = 0.00 μB per cell
Final energy = -4.12 eV/atom
Symmetry = P-3m1 (164)


This record from Alexandria describes a relaxed structure of KNaHF. The functional is GGA-PBE. Values from VASP.

Geometry as Quantum ESPRESSO input:
```
&SYSTEM
  ibrav = 0, nat = 4, ntyp = 4
/
ATOMIC_SPECIES
Na 22.99 Na.upf
K 39.10 K.upf
H 1.01 H.upf
F 19.00 F.upf
CELL_PARAMETERS angstrom
4.4565 0.0000 0.0000
2.2283 3.8595 0.0000
2.2283 1.2865 3.6388
ATOMIC_POSITIONS angstrom
Na 0.0000 0.0000 0.0000
K 4.4565 2.5730 1.8194
H 2.2283 1.2865 0.9097
F 6.6848 3.8595 2.7291
```

Summary:
Energy above the lowest structure with this stoichiometry = 0.146 eV/atom
Size of the total moment = 0.04 μB per cell
Final energy = -3.20 eV/atom
Symmetry = F-43m (216)


This record from Alexandria describes a relaxed structure of K2Na2Sb2H6O3F10. The functional is GGA-PBE. Values from VASP.

Geometry as Quantum ESPRESSO input:
```
&SYSTEM
  ibrav = 0, nat = 50, ntyp = 6
/
ATOMIC_SPECIES
K 39.10 K.upf
Na 22.99 Na.upf
Sb 121.76 Sb.upf
H 1.01 H.upf
O 16.00 O.upf
F 19.00 F.upf
CELL_PARAMETERS angstrom
6.1496 -0.0238 0.0000
-0.0893 6.1558 0.0000
0.0000 0.0000 17.8539
ATOMIC_POSITIONS angstrom
K 1.4542 1.4722 0.0023
K 4.6061 4.6598 8.9293
K 4.6061 4.6598 17.8515
K 1.4542 1.4722 8.9246
Na 4.5259 1.5885 2.1772
Na 1.5344 4.5434 11.1041
Na 1.5344 4.5434 15.6767
Na 4.5259 1.5885 6.7498
Sb 1.5328 4.5531 2.3096
Sb 4.5275 1.5788 11.2365
Sb 4.5275 1.5788 15.5443
Sb 1.5328 4.5531 6.6173
H 4.1769 3.0670 4.4635
H 1.8833 3.0649 13.3904
H 3.0478 1.9276 4.4635
H 3.0125 4.2044 13.3904
H 4.9373 5.2310 3.6863
H 1.1229 0.9009 12.6132
H 1.1229 0.9009 14.1676
H 4.9373 5.2310 5.2406
H 0.8975 1.1424 3.6864
H 5.1627 4.9896 12.6133
H 5.1627 4.9896 14.1675
H 0.8975 1.1424 5.2405
O 4.0298 2.0838 4.4635
O 2.0305 4.0481 13.3904
O 4.5195 4.7998 4.4635
O 1.5407 1.3321 13.3904
O 1.3216 1.5678 4.4635
O 4.7387 4.5641 13.3904
F 1.2031 4.8793 0.3455
F 4.8571 1.2526 9.2724
F 4.8571 1.2526 17.5084
F 1.2031 4.8793 8.5815
F 0.0430 3.1390 1.8337
F 6.0172 2.9930 10.7607
F 6.0172 2.9930 16.0202
F 0.0430 3.1390 7.0932
F 2.9360 6.0529 1.8343
F 3.1243 0.0790 10.7612
F 3.1243 0.0790 16.0196
F 2.9360 6.0529 7.0927
F 2.9128 3.1830 1.5578
F 3.1475 2.9489 10.4847
F 3.1475 2.9489 16.2961
F 2.9128 3.1830 7.3692
F -0.0365 6.1168 2.4185
F 6.0968 0.0151 11.3454
F 6.0968 0.0151 15.4354
F -0.0365 6.1168 6.5084
```

Summary:
Size of the total moment = 0.00 μB per cell
Final energy = -4.73 eV/atom
Symmetry = P2_1/m (11)


Copy entry 4 word for word.
This record from Alexandria describes a relaxed structure of K2Na2Sb2H6O3F10. The functional is GGA-PBE. Values from VASP.

Geometry as Quantum ESPRESSO input:
```
&SYSTEM
  ibrav = 0, nat = 50, ntyp = 6
/
ATOMIC_SPECIES
K 39.10 K.upf
Na 22.99 Na.upf
Sb 121.76 Sb.upf
H 1.01 H.upf
O 16.00 O.upf
F 19.00 F.upf
CELL_PARAMETERS angstrom
6.1496 -0.0238 0.0000
-0.0893 6.1558 0.0000
0.0000 0.0000 17.8539
ATOMIC_POSITIONS angstrom
K 1.4542 1.4722 0.0023
K 4.6061 4.6598 8.9293
K 4.6061 4.6598 17.8515
K 1.4542 1.4722 8.9246
Na 4.5259 1.5885 2.1772
Na 1.5344 4.5434 11.1041
Na 1.5344 4.5434 15.6767
Na 4.5259 1.5885 6.7498
Sb 1.5328 4.5531 2.3096
Sb 4.5275 1.5788 11.2365
Sb 4.5275 1.5788 15.5443
Sb 1.5328 4.5531 6.6173
H 4.1769 3.0670 4.4635
H 1.8833 3.0649 13.3904
H 3.0478 1.9276 4.4635
H 3.0125 4.2044 13.3904
H 4.9373 5.2310 3.6863
H 1.1229 0.9009 12.6132
H 1.1229 0.9009 14.1676
H 4.9373 5.2310 5.2406
H 0.8975 1.1424 3.6864
H 5.1627 4.9896 12.6133
H 5.1627 4.9896 14.1675
H 0.8975 1.1424 5.2405
O 4.0298 2.0838 4.4635
O 2.0305 4.0481 13.3904
O 4.5195 4.7998 4.4635
O 1.5407 1.3321 13.3904
O 1.3216 1.5678 4.4635
O 4.7387 4.5641 13.3904
F 1.2031 4.8793 0.3455
F 4.8571 1.2526 9.2724
F 4.8571 1.2526 17.5084
F 1.2031 4.8793 8.5815
F 0.0430 3.1390 1.8337
F 6.0172 2.9930 10.7607
F 6.0172 2.9930 16.0202
F 0.0430 3.1390 7.0932
F 2.9360 6.0529 1.8343
F 3.1243 0.0790 10.7612
F 3.1243 0.0790 16.0196
F 2.9360 6.0529 7.0927
F 2.9128 3.1830 1.5578
F 3.1475 2.9489 10.4847
F 3.1475 2.9489 16.2961
F 2.9128 3.1830 7.3692
F -0.0365 6.1168 2.4185
F 6.0968 0.0151 11.3454
F 6.0968 0.0151 15.4354
F -0.0365 6.1168 6.5084
```

Summary:
Size of the total moment = 0.00 μB per cell
Final energy = -4.73 eV/atom
Symmetry = P2_1/m (11)